# 1
SrCoF5, relaxed, DFT PBE with a Hubbard U; symmetry = C2/c, No. 15; DFT total energy = -0.1887 hartree per atom; calculated density = 3.51 g/cm3
1.0
4.701 -3.379 0.000
4.701 3.379 0.000
-3.343 0.000 7.185
Sr Co F
2 2 10
Direct
0.047 0.953 0.750
0.953 0.047 0.250
0.500 0.500 0.000
0.500 0.500 0.500
0.200 0.778 0.028
0.222 0.800 0.472
0.269 0.302 0.390
0.302 0.269 0.890
0.428 0.572 0.750
0.572 0.428 0.250
0.698 0.731 0.110
0.731 0.698 0.610
0.778 0.200 0.528
0.800 0.222 0.972


# 2
SrCoF6, relaxed, DFT PBE with a Hubbard U; symmetry = C2/c, No. 15; DFT total energy = -0.1742 hartree per atom; calculated density = 3.59 g/cm3
1.0
4.109 -3.347 0.000
4.109 3.347 0.000
-0.282 0.000 8.759
Sr Co F
2 2 12
Direct
0.016 0.984 0.750
0.984 0.016 0.250
0.000 0.500 0.500
0.500 0.000 0.000
0.096 0.530 0.305
0.169 0.183 0.005
0.183 0.169 0.505
0.264 0.632 0.577
0.368 0.736 0.923
0.470 0.904 0.195
0.530 0.096 0.805
0.632 0.264 0.077
0.736 0.368 0.423
0.817 0.831 0.495
0.831 0.817 0.995
0.904 0.470 0.695


# 3
SrCo3F, relaxed, DFT PBE with a Hubbard U; symmetry = Pm-3m, No. 221; calculated density = 2.43 g/cm3; relative energy among the computed polymorphs = 1.510 eV/atom
1.0
5.789 0.000 0.000
0.000 5.789 0.000
0.000 0.000 5.789
Sr Co F
1 3 1
Direct
0.000 0.000 0.000
0.000 0.000 0.500
0.000 0.500 0.000
0.500 0.000 0.000
0.500 0.500 0.500


# 4
SrCoF3, relaxed, DFT PBE with a Hubbard U; symmetry = Pm-3m, No. 221; calculated density = 4.66 g/cm3; relative energy among the computed polymorphs = 0.000 eV/atom
1.0
4.171 0.000 0.000
0.000 4.171 0.000
0.000 0.000 4.171
Sr Co F
1 1 3
Direct
0.000 0.000 0.000
0.500 0.500 0.500
0.000 0.500 0.500
0.500 0.000 0.500
0.500 0.500 0.000